Computed, not measured: a relaxed SnPtSe crystal at the PBE-GGA level of DFT.

Calculated values
- DOS(E_F) (states/eV/cell) = 3.298
- raw formation energy (eV per atom) = -0.316
- size of the total moment (μB per formula unit) = 0.00
- calculated density (g/cm³) = 9.8

Cell: 6.4437 6.4437 6.4437 Å, 90.00 90.00 90.00°
Space group F-43m (No. 216)
Symmetry-distinct sites (fractional):
Sn  0.0000  0.0000  0.0000 x4
Pt  0.2500  0.2500  0.7500 x4
Se  0.0000  0.0000  0.5000 x4